RbSnI3, relaxed, DFT GGA-PBEsol; formation energy (no corrections) = -86.4 kJ per mole of atoms; space group = Pnma (62); crystal system = orthorhombic
1.0
4.638 0.000 0.000
0.000 10.231 0.000
0.000 0.000 17.099
Rb I Sn
4 12 4
direct
0.250 0.422 0.173
0.750 0.078 0.673
0.250 0.922 0.327
0.750 0.578 0.827
0.750 0.342 0.004
0.250 0.530 0.383
0.250 0.158 0.504
0.750 0.970 0.883
0.250 0.297 0.784
0.750 0.470 0.617
0.250 0.658 0.996
0.250 0.030 0.117
0.250 0.797 0.716
0.750 0.703 0.216
0.750 0.842 0.496
0.750 0.203 0.284
0.250 0.161 0.940
0.250 0.661 0.560
0.750 0.839 0.060
0.750 0.339 0.440

=====

RbTaTe2I, relaxed, DFT GGA-PBEsol; formation energy (no corrections) = 174.3 kJ per mole of atoms; space group = P4/mmm (123); crystal system = tetragonal
1.0
-1.848 5.142 -2.192
-0.470 -2.444 -5.336
-5.728 -1.543 1.211
Te Rb I Ta
2 1 1 1
direct
0.500 0.000 0.000
0.000 0.500 0.000
0.000 0.000 0.000
0.000 0.000 0.500
0.500 0.500 0.500

=====

RbTaTeI2, relaxed, DFT GGA-PBEsol; formation energy (no corrections) = 149.6 kJ per mole of atoms; space group = P4/mmm (123); crystal system = tetragonal
1.0
6.199 0.000 0.000
0.000 6.199 0.000
0.000 0.000 6.123
I Te Ta Rb
2 1 1 1
direct
0.500 0.000 0.000
0.000 0.500 0.000
0.000 0.000 0.500
0.500 0.500 0.500
0.000 0.000 0.000